[1]
The following is a DFT calculation (GGA-PBE) of a relaxed structure of Na2CrGeSe4.

## Properties
* raw formation energy: -0.666 eV/atom
* DOS at the Fermi energy: 2.17 states/eV per cell

Cell lengths 7.8862, 7.8862, 7.8862 Å; angles 120.48, 119.33, 90.17 degrees
Closest atoms and distances in Å follow each position.
Sites, in units of the cell vectors:
Na 0.0000 0.0000 0.0000  6 Se 2.88-2.91
Na 0.5000 0.0000 0.0000  6 Se 3.01-3.02
Na 0.5000 0.0000 0.5000  6 Se 2.88-2.91
Na 0.5000 0.5000 0.5000  6 Se 3.01-3.02
Cr 0.0000 0.0000 0.5000  6 Se 2.55-2.59
Cr 0.0000 0.5000 0.0000  6 Se 2.55-2.59
Ge 0.0000 0.5000 0.5000  6 Se 2.69-2.73
Ge 0.5000 0.5000 0.0000  6 Se 2.69-2.73
Se 0.2036 0.7404 0.4632  2 Cr 2.59, 1 Ge 2.69
Se 0.2228 0.2596 0.9632  2 Cr 2.59, 1 Ge 2.69
Se 0.2290 0.2426 0.5136  1 Cr 2.55, 2 Ge 2.73
Se 0.2290 0.7153 0.9864  1 Cr 2.55, 2 Ge 2.73
Se 0.7710 0.2847 0.0136  1 Cr 2.55, 2 Ge 2.73
Se 0.7710 0.7574 0.4864  1 Cr 2.55, 2 Ge 2.73
Se 0.7772 0.7404 0.0368  2 Cr 2.59, 1 Ge 2.69
Se 0.7964 0.2596 0.5368  2 Cr 2.59, 1 Ge 2.69

***

[2]
The following is a DFT calculation (GGA-PBE) of a relaxed structure of BaZn2Re.

## Properties
* energy above the most stable polymorph in this dataset: 0.592 eV per atom
* DOS at the Fermi energy: 4.68 states/eV per cell

Cell lengths 4.9690, 4.9690, 4.9690 Å; angles 60.00, 60.00, 60.00 degrees
Closest atoms and distances in Å follow each position.
Sites, in units of the cell vectors:
Ba 0.0000 0.0000 0.0000  4 Re 3.04, 4 Zn 3.04
Zn 0.2500 0.2500 0.2500  4 Ba 3.04, 4 Zn 3.04
Zn 0.5000 0.5000 0.5000  4 Re 3.04, 4 Zn 3.04
Re 0.7500 0.7500 0.7500  4 Ba 3.04, 4 Zn 3.04

***

[3]
The following is a DFT calculation (GGA-PBE) of a relaxed structure of Sr2SbPb.

## Properties
* energy above the most stable polymorph in this dataset: 0.066 eV per atom
* raw formation energy: -0.626 eV/atom
* DOS at the Fermi energy: 1.87 states/eV per cell

Cell lengths 6.9813, 6.9813, 5.2356 Å; angles 111.77, 111.77, 36.21 degrees
Closest atoms and distances in Å follow each position.
Sites, in units of the cell vectors:
Sr 0.0000 0.0000 0.0000  4 Pb 3.44-3.45, 2 Sb 3.79
Sr 0.2344 0.2344 0.7298  4 Sb 3.40-3.41, 2 Pb 3.73-3.79
Sb 0.7541 0.7541 0.2477  2 Pb 3.28, 4 Sr 3.40-3.41
Pb 0.4553 0.4553 0.4566  2 Sb 3.28, 4 Sr 3.44-3.45

***

[4]
The following is a DFT calculation (GGA-PBE) of a relaxed structure of Zn2Te2P.

## Properties
* raw formation energy: 0.353 eV/atom
* DOS at the Fermi energy: 1.73 states/eV per cell

Cell lengths 5.4274, 5.4274, 5.4274 Å; angles 118.70, 118.70, 92.27 degrees
Closest atoms and distances in Å follow each position.
Sites, in units of the cell vectors:
Zn 0.1695 0.1695 0.0000  1 P 2.49, 1 Zn 2.55
Zn 0.8305 0.8305 0.0000  1 P 2.49, 1 Zn 2.55
Te 0.2500 0.7500 0.5000  4 Zn 2.83
Te 0.7500 0.2500 0.5000  4 Zn 2.83
P 0.5000 0.5000 0.0000  2 Zn 2.49

***

[5]
The following is a DFT calculation (GGA-PBE) of a relaxed structure of LuAlCdPd.

## Properties
* DOS at the Fermi energy: 1.64 states/eV per cell
* uncorrected energy: -16.48 eV for the cell shown

Cell lengths 4.7575, 4.7575, 4.7575 Å; angles 60.00, 60.00, 60.00 degrees
Closest atoms and distances in Å follow each position.
Sites, in units of the cell vectors:
Lu 0.0000 0.0000 0.0000  4 Cd 2.91, 4 Pd 2.91
Al 0.5000 0.5000 0.5000  4 Cd 2.91, 4 Pd 2.91
Cd 0.7500 0.7500 0.7500  4 Lu 2.91, 4 Al 2.91
Pd 0.2500 0.2500 0.2500  4 Al 2.91, 4 Lu 2.91

***

[6]
The following is a DFT calculation (GGA-PBE) of a relaxed structure of V2HgBr4.

## Properties
* raw formation energy: -0.670 eV/atom

Cell lengths 10.6100, 10.6100, 6.6435 Å; angles 107.59, 107.59, 20.79 degrees
Closest atoms and distances in Å follow each position.
Sites, in units of the cell vectors:
V 0.2500 0.2500 0.2501  6 Br 2.64-2.65
V 0.7500 0.7500 0.7499  6 Br 2.64-2.65
Hg 0.0000 0.0000 0.0000  2 Hg 3.83, 6 Br 4.14-4.19
Br 0.1770 0.1770 0.5130  3 V 2.64-2.65
Br 0.3228 0.3228 0.9873  3 V 2.64
Br 0.6772 0.6772 0.0127  3 V 2.64
Br 0.8230 0.8230 0.4870  3 V 2.64-2.65

***

[7]
The following is a DFT calculation (GGA-PBE) of a relaxed structure of Tb3PmDy2Y6.

## Properties
* DOS at the Fermi energy: 16.67 states/eV per cell
* uncorrected energy: -66.41 eV for the cell shown

Cell lengths 6.1820, 6.1820, 11.8240 Å; angles 94.98, 94.98, 119.95 degrees
Closest atoms and distances in Å follow each position.
Sites, in units of the cell vectors:
Tb 0.0000 0.0000 0.0000  6 Y 3.56, 6 Tb 3.57
Tb 0.3331 0.6669 0.0000  6 Y 3.56, 6 Tb 3.57
Tb 0.6669 0.3331 0.0000  6 Y 3.56, 6 Tb 3.57
Pm 0.5000 0.5000 0.5000  6 Dy 3.57, 6 Y 3.57-3.58
Dy 0.1667 0.8333 0.5000  3 Dy 3.57, 3 Pm 3.57, 6 Y 3.57
Dy 0.8333 0.1667 0.5000  3 Dy 3.57, 3 Pm 3.57, 6 Y 3.57
Y 0.0823 0.4161 0.2494  3 Tb 3.56, 6 Y 3.57-3.58, 2 Dy 3.57, 1 Pm 3.58
Y 0.2501 0.2501 0.7505  3 Tb 3.56, 6 Y 3.57-3.58, 1 Pm 3.57, 2 Dy 3.57
Y 0.4161 0.0823 0.2494  3 Tb 3.56, 6 Y 3.57-3.58, 2 Dy 3.57, 1 Pm 3.58
Y 0.5839 0.9177 0.7506  3 Tb 3.56, 6 Y 3.57-3.58, 2 Dy 3.57, 1 Pm 3.58
Y 0.7499 0.7499 0.2495  3 Tb 3.56, 6 Y 3.57-3.58, 1 Pm 3.57, 2 Dy 3.57
Y 0.9177 0.5839 0.7506  3 Tb 3.56, 6 Y 3.57-3.58, 2 Dy 3.57, 1 Pm 3.58

***

[8]
The following is a DFT calculation (GGA-PBE) of a relaxed structure of AsPAu.

## Properties
* energy above the most stable polymorph in this dataset: 0.140 eV per atom
* DOS at the Fermi energy: 1.45 states/eV per cell

Cell lengths 5.8930, 5.8930, 5.8930 Å; angles 152.63, 145.04, 44.96 degrees
Closest atoms and distances in Å follow each position.
Sites, in units of the cell vectors:
As 0.0000 0.0000 0.0000  2 As 2.79, 4 P 2.84, 4 Au 3.00
P 0.3413 0.3413 0.0000  2 P 2.79, 4 As 2.84, 4 Au 2.84
Au 0.6818 0.6818 0.0000  2 Au 2.79, 4 P 2.84, 4 As 3.00

***

[9]
The following is a DFT calculation (GGA-PBE) of a relaxed structure of KNa2HoF6.

## Properties
* raw formation energy: -3.319 eV/atom
* DOS at the Fermi energy: 0.00 states/eV per cell

Cell lengths 6.3703, 6.3703, 6.3703 Å; angles 56.21, 56.21, 56.21 degrees
Closest atoms and distances in Å follow each position.
Sites, in units of the cell vectors:
K 0.0000 0.0000 0.0000  6 F 2.59-2.76
Na 0.2788 0.2788 0.2788  6 F 2.34-2.46
Na 0.7879 0.7879 0.7879  6 F 2.26-2.46
Ho 0.4856 0.4856 0.4856  6 F 2.18-2.19
F 0.1029 0.6402 0.4384  1 Ho 2.19, 1 Na 2.26
F 0.2164 0.5594 0.8643  1 Ho 2.18, 1 Na 2.34
F 0.4384 0.1029 0.6402  1 Ho 2.19, 1 Na 2.26
F 0.5594 0.8643 0.2164  1 Ho 2.18, 1 Na 2.34
F 0.6402 0.4384 0.1029  1 Ho 2.19, 1 Na 2.26
F 0.8643 0.2164 0.5594  1 Ho 2.18, 1 Na 2.34

***

[10]
The following is a DFT calculation (GGA-PBE) of a relaxed structure of CdRhNO2.

## Properties
* raw formation energy: 0.119 eV/atom
* DOS at the Fermi energy: 4.56 states/eV per cell

Cell lengths 4.1386, 4.1386, 3.6517 Å; angles 90.00, 90.00, 90.00 degrees
Closest atoms and distances in Å follow each position.
Sites, in units of the cell vectors:
Cd 0.0000 0.0000 0.0000  8 O 2.76, 4 N 2.93
Rh 0.5000 0.5000 0.5000  2 N 1.83
N 0.5000 0.5000 0.0000  2 Rh 1.83
O 0.0000 0.5000 0.5000  2 Rh 2.07
O 0.5000 0.0000 0.5000  2 Rh 2.07

***

[11]
The following is a DFT calculation (GGA-PBE) of a relaxed structure of Tl2HgMo.

## Properties
* energy above the most stable polymorph in this dataset: 0.134 eV per atom
* DOS at the Fermi energy: 3.65 states/eV per cell

Cell lengths 5.3677, 5.3677, 3.2332 Å; angles 90.00, 90.00, 107.96 degrees
Closest atoms and distances in Å follow each position.
Sites, in units of the cell vectors:
Tl 0.0000 0.5000 0.0000  4 Hg 3.13, 4 Mo 3.13, 4 Tl 3.16-3.23
Tl 0.5000 0.0000 0.0000  4 Hg 3.13, 4 Mo 3.13, 4 Tl 3.16-3.23
Hg 0.0000 0.0000 0.5000  8 Tl 3.13, 2 Mo 3.16, 2 Hg 3.23
Mo 0.5000 0.5000 0.5000  8 Tl 3.13, 2 Hg 3.16, 2 Mo 3.23

***

[12]
The following is a DFT calculation (GGA-PBE) of a relaxed structure of NiGe3Pt.

## Properties
* energy above the most stable polymorph in this dataset: 0.000 eV per atom
* DOS at the Fermi energy: 4.09 states/eV per cell

Cell lengths 4.5173, 4.5173, 4.5173 Å; angles 90.00, 90.00, 90.00 degrees
Closest atoms and distances in Å follow each position.
Sites, in units of the cell vectors:
Ni 0.0000 0.0000 0.0000  6 Ge 2.26
Ge 0.0000 0.0000 0.5000  2 Ni 2.26
Ge 0.0000 0.5000 0.0000  2 Ni 2.26
Ge 0.5000 0.0000 0.0000  2 Ni 2.26
Pt 0.5000 0.5000 0.5000  12 Ge 3.19

***

For the records above, the corresponding mass density values read 4.65 8.70 6.03 6.01 9.18 4.09 6.37 9.36 3.62 6.94 13.22 8.50 g/cm³.